# 1
First-principles (meta-GGA SCAN) data for Be2MoPb at its PBEsol-relaxed geometry, as listed in Alexandria via LeMat-Bulk.

Results
- energy relative to the elements (eV/atom) = 0.48

Geometry as CIF:
```
data_Be2MoPb
_chemical_formula_sum 'Be2 Mo1 Pb1'
_cell_length_a 3.997
_cell_length_b 3.997
_cell_length_c 3.473
_cell_angle_alpha 90.00
_cell_angle_beta 90.00
_cell_angle_gamma 90.00
_space_group_name_H-M_alt 'P 4/m m m'
_space_group_IT_number 123
_space_group_name_Hall '-P 4 2'
loop_
_atom_site_label
_atom_site_type_symbol
_atom_site_fract_x
_atom_site_fract_y
_atom_site_fract_z
Be1 Be 0.000 0.500 0.000
Mo1 Mo 0.000 0.000 0.500
Pb1 Pb 0.500 0.500 0.500
```

=====

# 2
First-principles (meta-GGA SCAN) data for Sn2Bi2Se at its PBEsol-relaxed geometry, as listed in Alexandria via LeMat-Bulk.

Results
- formation energy (no corrections) (eV/atom) = 0.164

Geometry as CIF:
```
data_Sn2Bi2Se
_chemical_formula_sum 'Sn4 Bi4 Se2'
_cell_length_a 4.184
_cell_length_b 4.184
_cell_length_c 16.176
_cell_angle_alpha 90.00
_cell_angle_beta 90.00
_cell_angle_gamma 90.00
_space_group_name_H-M_alt 'I 4/m m m'
_space_group_IT_number 139
_space_group_name_Hall '-I 4 2'
loop_
_atom_site_label
_atom_site_type_symbol
_atom_site_fract_x
_atom_site_fract_y
_atom_site_fract_z
Sn1 Sn 0.000 0.500 0.250
Bi1 Bi 0.000 0.000 0.096
Se1 Se 0.000 0.000 0.500
```

=====

# 3
First-principles (meta-GGA SCAN) data for SiTePt2 at its PBEsol-relaxed geometry, as listed in Alexandria via LeMat-Bulk.

Results
- energy relative to the lowest polymorph listed for this composition (meV per atom) = 112.3
- formation energy (no corrections) (eV/atom) = -0.296

Geometry as CIF:
```
data_SiTePt2
_chemical_formula_sum 'Si1 Te1 Pt2'
_cell_length_a 3.884
_cell_length_b 4.766
_cell_length_c 3.962
_cell_angle_alpha 90.00
_cell_angle_beta 91.67
_cell_angle_gamma 90.00
_space_group_name_H-M_alt 'P 1 m 1'
_space_group_IT_number 6
_space_group_name_Hall 'P -2y'
loop_
_atom_site_label
_atom_site_type_symbol
_atom_site_fract_x
_atom_site_fract_y
_atom_site_fract_z
Si1 Si 0.000 0.000 0.000
Te1 Te 0.675 0.500 0.422
Pt1 Pt 0.177 0.500 0.926
Pt2 Pt 0.480 0.000 0.637
```

=====

# 4
First-principles (meta-GGA SCAN) data for TcHg2P at its PBEsol-relaxed geometry, as listed in Alexandria via LeMat-Bulk.

Results
- energy relative to the elements (eV/atom) = 0.75

Geometry as CIF:
```
data_TcHg2P
_chemical_formula_sum 'Tc1 Hg2 P1'
_cell_length_a 3.826
_cell_length_b 3.826
_cell_length_c 4.730
_cell_angle_alpha 90.00
_cell_angle_beta 90.00
_cell_angle_gamma 90.00
_space_group_name_H-M_alt 'P 4/m m m'
_space_group_IT_number 123
_space_group_name_Hall '-P 4 2'
loop_
_atom_site_label
_atom_site_type_symbol
_atom_site_fract_x
_atom_site_fract_y
_atom_site_fract_z
Tc1 Tc 0.000 0.000 0.000
Hg1 Hg 0.000 0.500 0.500
P1 P 0.500 0.500 0.000
```

=====

# 5
First-principles (meta-GGA SCAN) data for YRhW3 at its PBEsol-relaxed geometry, as listed in Alexandria via LeMat-Bulk.

Results
- energy relative to the elements (eV/atom) = 3.39

Geometry as CIF:
```
data_YRhW3
_chemical_formula_sum 'Y1 Rh1 W3'
_cell_length_a 4.631
_cell_length_b 4.631
_cell_length_c 4.631
_cell_angle_alpha 90.00
_cell_angle_beta 90.00
_cell_angle_gamma 90.00
_space_group_name_H-M_alt 'P m -3 m'
_space_group_IT_number 221
_space_group_name_Hall '-P 4 2 3'
loop_
_atom_site_label
_atom_site_type_symbol
_atom_site_fract_x
_atom_site_fract_y
_atom_site_fract_z
Y1 Y 0.000 0.000 0.000
Rh1 Rh 0.500 0.500 0.500
W1 W 0.000 0.000 0.500
```

=====

# 6
First-principles (meta-GGA SCAN) data for Tl2ZnCl at its PBEsol-relaxed geometry, as listed in Alexandria via LeMat-Bulk.

Results
- energy relative to the lowest polymorph listed for this composition (meV per atom) = 0.0
- formation energy (no corrections) (eV/atom) = -0.234

Geometry as CIF:
```
data_Tl2ZnCl
_chemical_formula_sum 'Tl4 Zn2 Cl2'
_cell_length_a 4.332
_cell_length_b 4.332
_cell_length_c 10.760
_cell_angle_alpha 90.00
_cell_angle_beta 90.00
_cell_angle_gamma 90.00
_space_group_name_H-M_alt 'I -4 m 2'
_space_group_IT_number 119
_space_group_name_Hall 'I -4 -2'
loop_
_atom_site_label
_atom_site_type_symbol
_atom_site_fract_x
_atom_site_fract_y
_atom_site_fract_z
Tl1 Tl 0.000 0.000 0.000
Tl2 Tl 0.000 0.500 0.250
Zn1 Zn 0.000 0.000 0.500
Cl1 Cl 0.000 0.500 0.750
```

=====

# 7
First-principles (meta-GGA SCAN) data for BaTeIr at its PBEsol-relaxed geometry, as listed in Alexandria via LeMat-Bulk.

Results
- formation energy (no corrections) (eV/atom) = -0.771

Geometry as CIF:
```
data_BaTeIr
_chemical_formula_sum 'Ba1 Te1 Ir1'
_cell_length_a 4.4794
_cell_length_b 4.4794
_cell_length_c 4.8390
_cell_angle_alpha 90.00
_cell_angle_beta 90.00
_cell_angle_gamma 120.00
_space_group_name_H-M_alt 'P -6 m 2'
_space_group_IT_number 187
_space_group_name_Hall 'P -6 2'
loop_
_atom_site_label
_atom_site_type_symbol
_atom_site_fract_x
_atom_site_fract_y
_atom_site_fract_z
Ba1 Ba 0.0000 0.0000 0.0000
Te1 Te 0.6667 0.3333 0.5000
Ir1 Ir 0.3333 0.6667 0.5000
```

=====

# 8
First-principles (meta-GGA SCAN) data for ZrCrO3 at its PBEsol-relaxed geometry, as listed in Alexandria via LeMat-Bulk.

Results
- formation energy (no corrections) (eV/atom) = -2.938

Geometry as CIF:
```
data_ZrCrO3
_chemical_formula_sum 'Zr4 Cr4 O12'
_cell_length_a 5.294
_cell_length_b 9.060
_cell_length_c 4.818
_cell_angle_alpha 90.00
_cell_angle_beta 90.00
_cell_angle_gamma 90.00
_space_group_name_H-M_alt 'P n m a'
_space_group_IT_number 62
_space_group_name_Hall '-P 2ac 2n'
loop_
_atom_site_label
_atom_site_type_symbol
_atom_site_fract_x
_atom_site_fract_y
_atom_site_fract_z
Zr1 Zr 0.052 0.250 0.046
Cr1 Cr 0.000 0.000 0.500
O1 O 0.112 0.750 0.326
O2 O 0.217 0.597 0.793
```

=====

What is the formula in the third record?
SiTePt2